No. 1
The following is a DFT calculation (GGA-PBE) of NdH7Pt2 after structural relaxation.

The structure in POSCAR format:
```
NdH7Pt2
1.0
2.431 -5.193 0.000
2.431 5.193 0.000
0.000 0.000 3.619
Nd H Pt
1 7 2
Direct
0.000 0.000 0.000 Nd
0.026 0.295 0.500 H
0.295 0.026 0.500 H
0.335 0.665 0.000 H
0.500 0.500 0.500 H
0.665 0.335 0.000 H
0.705 0.974 0.500 H
0.974 0.705 0.500 H
0.330 0.670 0.500 Pt
0.670 0.330 0.500 Pt
```

Values from the calculation:
Electronic total energy in Ry per atom: -0.3122

No. 2
The following is a DFT calculation (GGA-PBE) of NdH6Pt4 after structural relaxation.

The structure in POSCAR format:
```
NdH6Pt4
1.0
5.172 0.000 0.000
2.297 5.049 0.000
1.963 2.071 4.804
Nd H Pt
1 6 4
Direct
0.000 0.000 0.000 Nd
0.137 0.453 0.220 H
0.482 0.041 0.054 H
0.548 0.015 0.697 H
0.585 0.576 0.324 H
0.657 0.484 0.896 H
0.996 0.012 0.466 H
0.331 0.424 0.906 Pt
0.364 0.342 0.450 Pt
0.388 0.868 0.405 Pt
0.843 0.732 0.661 Pt
```

Values from the calculation:
Electronic total energy in Ry per atom: -0.3487

No. 3
The following is a DFT calculation (GGA-PBE) of NdH4Pt3 after structural relaxation.

The structure in POSCAR format:
```
NdH4Pt3
1.0
5.601 0.000 0.000
0.000 5.601 0.000
0.000 0.000 5.601
Nd H Pt
2 8 6
Direct
0.000 0.000 0.000 Nd
0.500 0.500 0.500 Nd
0.250 0.250 0.250 H
0.250 0.250 0.750 H
0.250 0.750 0.250 H
0.250 0.750 0.750 H
0.750 0.250 0.250 H
0.750 0.250 0.750 H
0.750 0.750 0.250 H
0.750 0.750 0.750 H
0.000 0.250 0.500 Pt
0.000 0.750 0.500 Pt
0.250 0.500 0.000 Pt
0.500 0.000 0.250 Pt
0.500 0.000 0.750 Pt
0.750 0.500 0.000 Pt
```

Values from the calculation:
Electronic total energy in Ry per atom: -0.3576

No. 4
The following is a DFT calculation (GGA-PBE) of Nd4HPt2 after structural relaxation.

The structure in POSCAR format:
```
Nd4HPt2
1.0
-2.348 2.348 7.688
2.348 -2.348 7.688
2.348 2.348 -7.688
Nd H Pt
4 1 2
Direct
0.000 0.500 0.500 Nd
0.187 0.187 0.000 Nd
0.500 0.000 0.500 Nd
0.813 0.813 0.000 Nd
0.000 0.000 0.000 H
0.367 0.367 0.000 Pt
0.633 0.633 0.000 Pt
```

Values from the calculation:
Electronic total energy in Ry per atom: -0.4132

No. 5
The following is a DFT calculation (GGA-PBE) of Nd2H12PtRh3 after structural relaxation.

The structure in POSCAR format:
```
Nd2H12PtRh3
1.0
3.080 1.778 5.036
-3.080 1.778 5.036
0.000 -3.556 5.036
Nd H Pt Rh
2 12 1 3
Direct
0.124 0.124 0.124 Nd
0.876 0.876 0.876 Nd
0.153 0.594 0.594 H
0.155 0.155 0.586 H
0.155 0.586 0.155 H
0.406 0.406 0.847 H
0.406 0.847 0.406 H
0.414 0.845 0.845 H
0.586 0.155 0.155 H
0.594 0.153 0.594 H
0.594 0.594 0.153 H
0.845 0.414 0.845 H
0.845 0.845 0.414 H
0.847 0.406 0.406 H
0.500 0.500 0.500 Pt
0.000 0.500 0.500 Rh
0.500 0.000 0.500 Rh
0.500 0.500 0.000 Rh
```

Values from the calculation:
Electronic total energy in Ry per atom: -0.3370

No. 6
The following is a DFT calculation (GGA-PBE) of NdH8PtRh4 after structural relaxation.

The structure in POSCAR format:
```
NdH8PtRh4
1.0
2.850 1.646 4.637
-2.850 1.646 4.637
0.000 -3.291 4.637
Nd H Pt Rh
1 8 1 4
Direct
0.000 0.000 0.000 Nd
0.305 0.305 0.895 H
0.305 0.895 0.305 H
0.384 0.384 0.384 H
0.483 0.834 0.834 H
0.834 0.483 0.834 H
0.834 0.834 0.483 H
0.840 0.840 0.840 H
0.895 0.305 0.305 H
0.617 0.617 0.617 Pt
0.131 0.621 0.621 Rh
0.250 0.250 0.250 Rh
0.621 0.131 0.621 Rh
0.621 0.621 0.131 Rh
```

Values from the calculation:
Electronic total energy in Ry per atom: -0.3662

No. 7
The following is a DFT calculation (GGA-PBE) of Nd2HPtRh6 after structural relaxation.

The structure in POSCAR format:
```
Nd2HPtRh6
1.0
2.771 1.600 6.341
-2.771 1.600 6.341
0.000 -3.200 6.341
Nd H Pt Rh
2 1 1 6
Direct
0.215 0.215 0.215 Nd
0.785 0.785 0.785 Nd
0.000 0.000 0.000 H
0.500 0.500 0.500 Pt
0.227 0.227 0.709 Rh
0.227 0.709 0.227 Rh
0.291 0.773 0.773 Rh
0.709 0.227 0.227 Rh
0.773 0.291 0.773 Rh
0.773 0.773 0.291 Rh
```

Values from the calculation:
Electronic total energy in Ry per atom: -0.4923

No. 8
The following is a DFT calculation (GGA-PBE) of NdTlH6Pt2 after structural relaxation.

The structure in POSCAR format:
```
NdTlH6Pt2
1.0
4.455 -4.334 0.000
4.455 4.334 0.000
-2.889 0.000 7.245
Nd Tl H Pt
2 2 12 4
Direct
0.054 0.946 0.750 Nd
0.946 0.054 0.250 Nd
0.406 0.594 0.250 Tl
0.594 0.406 0.750 Tl
0.109 0.345 0.849 H
0.141 0.830 0.464 H
0.170 0.859 0.036 H
0.210 0.606 0.757 H
0.345 0.109 0.349 H
0.394 0.790 0.743 H
0.606 0.210 0.257 H
0.655 0.891 0.651 H
0.790 0.394 0.243 H
0.830 0.141 0.964 H
0.859 0.170 0.536 H
0.891 0.655 0.151 H
0.033 0.399 0.644 Pt
0.399 0.033 0.144 Pt
0.601 0.967 0.856 Pt
0.967 0.601 0.356 Pt
```

Values from the calculation:
Electronic total energy in Ry per atom: -0.3098

No. 9
The following is a DFT calculation (GGA-PBE) of NdZnHPt2 after structural relaxation.

The structure in POSCAR format:
```
NdZnHPt2
1.0
2.000 -5.448 0.000
2.000 5.448 0.000
0.000 0.000 7.453
Nd Zn H Pt
2 2 2 4
Direct
0.055 0.945 0.750 Nd
0.945 0.055 0.250 Nd
0.228 0.772 0.250 Zn
0.772 0.228 0.750 Zn
0.500 0.500 0.000 H
0.500 0.500 0.500 H
0.344 0.656 0.556 Pt
0.344 0.656 0.944 Pt
0.656 0.344 0.056 Pt
0.656 0.344 0.444 Pt
```

Values from the calculation:
Electronic total energy in Ry per atom: -0.3697

No. 10
The following is a DFT calculation (GGA-PBE) of Nd2ZnHPt6 after structural relaxation.

The structure in POSCAR format:
```
Nd2ZnHPt6
1.0
4.920 -2.843 0.000
4.920 2.843 0.000
-3.265 0.000 6.277
Nd Zn H Pt
2 1 1 6
Direct
0.217 0.217 0.148 Nd
0.783 0.783 0.852 Nd
0.500 0.500 0.000 Zn
0.000 0.000 0.500 H
0.230 0.725 0.687 Pt
0.231 0.231 0.688 Pt
0.275 0.770 0.313 Pt
0.725 0.230 0.687 Pt
0.769 0.769 0.312 Pt
0.770 0.275 0.313 Pt
```

Values from the calculation:
Electronic total energy in Ry per atom: -0.4244

No. 11
The following is a DFT calculation (GGA-PBE) of NdPu2H after structural relaxation.

The structure in POSCAR format:
```
NdPu2H
1.0
3.224 0.000 0.000
0.000 3.224 0.000
0.000 0.000 8.706
Nd Pu H
1 2 1
Direct
0.000 0.000 0.000 Nd
0.500 0.500 0.328 Pu
0.500 0.500 0.672 Pu
0.000 0.000 0.500 H
```

Values from the calculation:
Electronic total energy in Ry per atom: -0.6611

No. 12
The following is a DFT calculation (GGA-PBE) of NdPuH3 after structural relaxation.

The structure in POSCAR format:
```
NdPuH3
1.0
4.206 0.000 0.000
0.000 4.206 0.000
0.000 0.000 4.206
Nd Pu H
1 1 3
Direct
0.000 0.000 0.000 Nd
0.500 0.500 0.500 Pu
0.000 0.500 0.500 H
0.500 0.000 0.500 H
0.500 0.500 0.000 H
```

Values from the calculation:
Electronic total energy in Ry per atom: -0.4374